Entry 1:
A geometry-optimized RbRe2TcN structure. Source: Alexandria, functional PBE-GGA.

Lattice parameters (Å, degrees): 4.720 4.720 4.623 90.00 90.00 90.00
Positions (direct):
Rb: 0.000 0.000 0.000
Re: 0.000 0.500 0.000
Re: 0.500 0.000 0.000
Tc: 0.000 0.000 0.500
N: 0.500 0.500 0.500

Computed properties:
Crystal system: tetragonal
Total magnetic moment in μB/f.u.: 2.6
Calculated volume in Å³ per cell: 103

=====

Entry 2:
A geometry-optimized K3La3CeSe8 structure. Source: Alexandria, functional PBE-GGA.

Lattice parameters (Å, degrees): 9.259 9.259 9.259 56.84 56.84 56.84
Positions (direct):
K: 0.000 0.500 0.500
K: 0.500 0.000 0.500
K: 0.500 0.500 0.000
La: 0.000 0.000 0.500
La: 0.000 0.500 0.000
La: 0.500 0.000 0.000
Ce: 0.500 0.500 0.500
Se: 0.237 0.237 0.237
Se: 0.248 0.727 0.727
Se: 0.273 0.273 0.752
Se: 0.273 0.752 0.273
Se: 0.727 0.248 0.727
Se: 0.727 0.727 0.248
Se: 0.752 0.273 0.273
Se: 0.763 0.763 0.763

Computed properties:
Crystal system: trigonal
Total magnetic moment in μB/f.u.: 0.0
Calculated volume in Å³ per cell: 520

=====

Entry 3:
A geometry-optimized CoCuTe2N structure. Source: Alexandria, functional PBE-GGA.

Lattice parameters (Å, degrees): 5.283 5.283 3.348 90.00 90.00 90.00
Positions (direct):
Co: 0.000 0.000 0.000
Cu: 0.500 0.500 0.500
Te: 0.000 0.500 0.000
Te: 0.500 0.000 0.000
N: 0.000 0.000 0.500

Computed properties:
Offset from the most stable computed form in meV/atom: 0
Crystal system: tetragonal
Total magnetic moment in μB/f.u.: 0.0
Calculated volume in Å³ per cell: 93

=====

| no. | formation energy (no corrections) (eV per atom) |
| --- | --- |
| 1 | 5.0848 |
| 2 | -1.7857 |
| 3 | 0.4008 |